Record 1
VASP calculation (PBE-GGA) on an optimized crystal structure of MnZn5N4.

Properties
Its space-group type is Pmmn.

Lattice parameters (Å, degrees): 5.9729 9.2008 4.8145 90.00 90.00 90.00
Fractional coordinates of all 20 atoms:
Mn  0.2500  0.2500  0.2095
Mn  0.7500  0.7500  0.7905
Zn  0.0213  0.6032  0.3218
Zn  0.0213  0.8968  0.3218
Zn  0.2500  0.7500  0.7580
Zn  0.4787  0.6032  0.3218
Zn  0.4787  0.8968  0.3218
Zn  0.5213  0.1032  0.6782
Zn  0.5213  0.3968  0.6782
Zn  0.7500  0.2500  0.2420
Zn  0.9787  0.1032  0.6782
Zn  0.9787  0.3968  0.6782
N  0.0064  0.2500  0.9770
N  0.2500  0.0646  0.4092
N  0.2500  0.4354  0.4092
N  0.4936  0.2500  0.9770
N  0.5064  0.7500  0.0230
N  0.7500  0.5646  0.5908
N  0.7500  0.9354  0.5908
N  0.9936  0.7500  0.0230

---

Record 2
VASP calculation (PBE-GGA) on an optimized crystal structure of Mn2ZnN.

Properties
Its space-group type is I-42d.

Lattice parameters (Å, degrees): 5.8902 5.8902 5.5706 90.00 90.00 90.00
Fractional coordinates of all 16 atoms:
Mn  0.1446  0.2500  0.1250
Mn  0.2500  0.6446  0.3750
Mn  0.2500  0.8554  0.8750
Mn  0.3554  0.2500  0.6250
Mn  0.6446  0.7500  0.6250
Mn  0.7500  0.1446  0.8750
Mn  0.7500  0.3554  0.3750
Mn  0.8554  0.7500  0.1250
Zn  0.0000  0.0000  0.5000
Zn  0.0000  0.5000  0.7500
Zn  0.5000  0.0000  0.2500
Zn  0.5000  0.5000  0.0000
N  0.0000  0.0000  0.0000
N  0.0000  0.5000  0.2500
N  0.5000  0.0000  0.7500
N  0.5000  0.5000  0.5000

---

Record 3
VASP calculation (PBE-GGA) on an optimized crystal structure of MnZnN2.

Properties
Its space-group type is R-3m.

Lattice parameters (Å, degrees): 3.0045 3.0045 17.1153 90.00 90.00 120.00
Fractional coordinates of all 12 atoms:
Mn  0.0000  0.0000  0.0000
Mn  0.3333  0.6667  0.6667
Mn  0.6667  0.3333  0.3333
Zn  0.0000  0.0000  0.5000
Zn  0.3333  0.6667  0.1667
Zn  0.6667  0.3333  0.8333
N  0.0000  0.0000  0.3920
N  0.0000  0.0000  0.6080
N  0.3333  0.6667  0.0587
N  0.3333  0.6667  0.2747
N  0.6667  0.3333  0.7253
N  0.6667  0.3333  0.9413

---

Record 4
VASP calculation (PBE-GGA) on an optimized crystal structure of MnZnN3.

Properties
Its space-group type is Pm-3m.

Lattice parameters (Å, degrees): 3.6770 3.6770 3.6770 90.00 90.00 90.00
Fractional coordinates of all 5 atoms:
Mn  0.0000  0.0000  0.0000
Zn  0.5000  0.5000  0.5000
N  0.0000  0.0000  0.5000
N  0.0000  0.5000  0.0000
N  0.5000  0.0000  0.0000

---

Record 5
VASP calculation (PBE-GGA) on an optimized crystal structure of MnZn2N2.

Properties
Its space-group type is C2/m.

Lattice parameters (Å, degrees): 6.2061 6.2061 7.5630 123.88 123.88 33.17
Fractional coordinates of all 10 atoms:
Mn  0.1306  0.1306  0.1198
Mn  0.8694  0.8694  0.8802
Zn  0.1642  0.1642  0.7844
Zn  0.4244  0.4244  0.6408
Zn  0.5756  0.5756  0.3592
Zn  0.8358  0.8358  0.2156
N  0.0053  0.0053  0.1980
N  0.3226  0.3226  0.3252
N  0.6774  0.6774  0.6748
N  0.9947  0.9947  0.8020

---

Record 6
VASP calculation (PBE-GGA) on an optimized crystal structure of MnZn3N.

Properties
Its space-group type is Pm-3m. The relative energy among the computed polymorphs comes out at 0.0 meV per atom.

Lattice parameters (Å, degrees): 4.1593 4.1593 4.1593 90.00 90.00 90.00
Fractional coordinates of all 5 atoms:
Mn  0.0000  0.0000  0.0000
Zn  0.0000  0.5000  0.5000
Zn  0.5000  0.0000  0.5000
Zn  0.5000  0.5000  0.0000
N  0.5000  0.5000  0.5000

---

Record 7
VASP calculation (PBE-GGA) on an optimized crystal structure of MnZn3N.

Properties
Its space-group type is Pm-3m. The relative energy among the computed polymorphs comes out at 1393.9 meV per atom.

Lattice parameters (Å, degrees): 4.5965 4.5965 4.5965 90.00 90.00 90.00
Fractional coordinates of all 5 atoms:
Mn  0.0000  0.0000  0.0000
Zn  0.0000  0.0000  0.5000
Zn  0.0000  0.5000  0.0000
Zn  0.5000  0.0000  0.0000
N  0.5000  0.5000  0.5000

---

Record 8
VASP calculation (PBE-GGA) on an optimized crystal structure of MnZnN3.

Properties
Its space-group type is Pm-3m.

Lattice parameters (Å, degrees): 3.7307 3.7307 3.7307 90.00 90.00 90.00
Fractional coordinates of all 5 atoms:
Mn  0.0000  0.0000  0.0000
Zn  0.5000  0.5000  0.5000
N  0.0000  0.5000  0.5000
N  0.5000  0.0000  0.5000
N  0.5000  0.5000  0.0000

---

Record 9
VASP calculation (PBE-GGA) on an optimized crystal structure of MnZnN2.

Properties
Its space-group type is R-3m.

Lattice parameters (Å, degrees): 3.0759 3.0759 17.4075 90.00 90.00 120.00
Fractional coordinates of all 12 atoms:
Mn  0.0000  0.0000  0.0000
Mn  0.3333  0.6667  0.6667
Mn  0.6667  0.3333  0.3333
Zn  0.0000  0.0000  0.5000
Zn  0.3333  0.6667  0.1667
Zn  0.6667  0.3333  0.8333
N  0.0000  0.0000  0.1000
N  0.0000  0.0000  0.9000
N  0.3333  0.6667  0.5667
N  0.3333  0.6667  0.7667
N  0.6667  0.3333  0.2333
N  0.6667  0.3333  0.4333

---

Record 10
VASP calculation (PBE-GGA) on an optimized crystal structure of Mn2ZnN.

Properties
Its space-group type is R3m.

Lattice parameters (Å, degrees): 2.8050 2.8050 19.3881 90.00 90.00 120.00
Fractional coordinates of all 12 atoms:
Mn  0.0000  0.0000  0.0000
Mn  0.0000  0.0000  0.2200
Mn  0.3333  0.6667  0.6667
Mn  0.3333  0.6667  0.8867
Mn  0.6667  0.3333  0.3333
Mn  0.6667  0.3333  0.5534
Zn  0.0000  0.0000  0.7770
Zn  0.3333  0.6667  0.4436
Zn  0.6667  0.3333  0.1103
N  0.0000  0.0000  0.6099
N  0.3333  0.6667  0.2766
N  0.6667  0.3333  0.9432

---

Record 11
VASP calculation (PBE-GGA) on an optimized crystal structure of Mn6ZnN.

Properties
Its space-group type is R-3.

Lattice parameters (Å, degrees): 5.0574 5.0574 5.0574 60.47 60.47 60.47
Fractional coordinates of all 8 atoms:
Mn  0.0581  0.5506  0.1475
Mn  0.1475  0.0581  0.5506
Mn  0.4494  0.8525  0.9419
Mn  0.5506  0.1475  0.0581
Mn  0.8525  0.9419  0.4494
Mn  0.9419  0.4494  0.8525
Zn  0.5000  0.5000  0.5000
N  0.0000  0.0000  0.0000

---

Record 12
VASP calculation (PBE-GGA) on an optimized crystal structure of Zr2MnZnN.

Properties
Its space-group type is P4/mmm.

Lattice parameters (Å, degrees): 4.5261 4.5261 3.7656 90.00 90.00 90.00
Fractional coordinates of all 5 atoms:
Zr  0.0000  0.5000  0.0000
Zr  0.5000  0.0000  0.0000
Mn  0.0000  0.0000  0.5000
Zn  0.5000  0.5000  0.5000
N  0.0000  0.0000  0.0000

---

Number 1: spin magnetization 3.0 μB/f.u., uncorrected formation energy 0.18 eV/atom. Number 2: spin magnetization 4.0 μB/f.u., uncorrected formation energy 0.05 eV/atom. Number 3: spin magnetization 3.0 μB/f.u., uncorrected formation energy 0.06 eV/atom. Number 4: spin magnetization 0.0 μB/f.u., uncorrected formation energy 1.06 eV/atom. Number 5: spin magnetization 3.0 μB/f.u., uncorrected formation energy 0.10 eV/atom. Number 6: spin magnetization 3.9 μB/f.u., uncorrected formation energy 0.55 eV/atom. Number 7: spin magnetization 0.0 μB/f.u., uncorrected formation energy 1.94 eV/atom. Number 8: spin magnetization 0.1 μB/f.u., uncorrected formation energy 2.27 eV/atom. Number 9: spin magnetization 1.4 μB/f.u., uncorrected formation energy 0.75 eV/atom. Number 10: spin magnetization 4.0 μB/f.u., uncorrected formation energy -0.19 eV/atom. Number 11: spin magnetization 4.4 μB/f.u., uncorrected formation energy 0.25 eV/atom. Number 12: spin magnetization 1.7 μB/f.u., uncorrected formation energy -0.67 eV/atom.